Crystalline HfTlO3 at its relaxed geometry, computed with GGA-PBE.

Values from the calculation:
- SG: Pnma
- DFT total energy: -7.403 eV per atom

Unit cell a=6.0427 b=8.0435 c=6.0189 alpha=90.00 beta=90.00 gamma=90.00
With the nearest neighbours (Å) after each atom.
Element x y z (fractional)
Hf1 0.0028 0.2500 0.0371  4 O 1.97-2.11
Hf2 0.4972 0.7500 0.5371  4 O 1.97-2.11
Hf3 0.5028 0.2500 0.4629  4 O 1.97-2.11
Hf4 0.9972 0.7500 0.9629  4 O 1.97-2.11
Tl1 0.0000 0.0000 0.5000  6 O 2.35-2.61
Tl2 0.0000 0.5000 0.5000  6 O 2.35-2.61
Tl3 0.5000 0.0000 0.0000  6 O 2.35-2.61
Tl4 0.5000 0.5000 0.0000  6 O 2.35-2.61
O1 0.1353 0.0726 0.8535  1 Hf 1.97
O2 0.1353 0.4274 0.8535  1 Hf 1.97
O3 0.1933 0.2500 0.3022  2 Hf 1.97-2.11
O4 0.3067 0.7500 0.8022  2 Hf 1.97-2.11
O5 0.3647 0.5726 0.3535  1 Hf 1.97
O6 0.3647 0.9274 0.3535  1 Hf 1.97
O7 0.6353 0.0726 0.6465  1 Hf 1.97
O8 0.6353 0.4274 0.6465  1 Hf 1.97
O9 0.6933 0.2500 0.1978  2 Hf 1.97-2.11
O10 0.8067 0.7500 0.6978  2 Hf 1.97-2.11
O11 0.8647 0.5726 0.1465  1 Hf 1.97
O12 0.8647 0.9274 0.1465  1 Hf 1.97